No. 1
First-principles (GGA-PBE) data for an optimized crystal structure of Rb8I6Cl, as listed in Alexandria.

The value obtained for the raw formation energy is -1314 meV per atom.

It has space group P-3 (No. 147), with a = 12.7215 Å, b = 12.7215 Å, c = 5.7575 Å, α = 90.00°, β = 90.00° and γ = 120.00°. The asymmetric unit holds Rb at (0.0191, 0.2825, 0.2354), Rb at (0.3333, 0.6667, 0.7564), I at (0.1176, 0.6582, 0.2601) and Cl at (0.0000, 0.0000, 0.0000).

***

No. 2
First-principles (GGA-PBE) data for an optimized crystal structure of Rb3I2Cl8, as listed in Alexandria.

The value obtained for the raw formation energy is -740 meV per atom.

It has space group R-3m (No. 166, hexagonal axes), with a = 7.1866 Å, b = 7.1866 Å, c = 31.7002 Å, α = 90.00°, β = 90.00° and γ = 120.00°. The asymmetric unit holds Rb at (0.0000, 0.0000, 0.0000), Rb at (0.0000, 0.0000, 0.1996), I at (0.0000, 0.0000, 0.3861), Cl at (0.0000, 0.0000, 0.3053) and Cl at (0.0111, 0.5056, 0.7744).

***

No. 3
First-principles (GGA-PBE) data for an optimized crystal structure of RbICl3, as listed in Alexandria.

The value obtained for the raw formation energy is -758 meV per atom. The calculation puts the energy relative to the lowest polymorph listed for this composition at 131.6 meV/atom.

It has space group Pm-3m (No. 221), with a = 5.671 Å, b = 5.671 Å, c = 5.671 Å, α = 90.00°, β = 90.00° and γ = 90.00°. The asymmetric unit holds Rb at (0.000, 0.000, 0.000), I at (0.500, 0.500, 0.500) and Cl at (0.000, 0.500, 0.500).

***

No. 4
First-principles (GGA-PBE) data for an optimized crystal structure of Rb3ICl2, as listed in Alexandria.

The value obtained for the raw formation energy is -1767 meV per atom.

It has space group P2_1/c (No. 14), with a = 7.020 Å, b = 14.746 Å, c = 9.899 Å, α = 90.00°, β = 90.02° and γ = 90.00°. The asymmetric unit holds Rb at (0.249, 0.091, 0.148), Rb at (0.250, 0.094, 0.607), Rb at (0.251, 0.744, 0.631), I at (0.251, 0.574, 0.374), Cl at (0.249, 0.245, 0.874) and Cl at (0.250, 0.586, 0.885).

***

No. 5
First-principles (GGA-PBE) data for an optimized crystal structure of RbICl3, as listed in Alexandria.

The value obtained for the raw formation energy is -110 meV per atom. The calculation puts the energy relative to the lowest polymorph listed for this composition at 779.5 meV/atom.

It has space group Pm-3m (No. 221), with a = 6.249 Å, b = 6.249 Å, c = 6.249 Å, α = 90.00°, β = 90.00° and γ = 90.00°. The asymmetric unit holds Rb at (0.000, 0.000, 0.000), I at (0.500, 0.500, 0.500) and Cl at (0.000, 0.000, 0.500).

***

No. 6
First-principles (GGA-PBE) data for an optimized crystal structure of Rb4I3Cl, as listed in Alexandria.

The value obtained for the raw formation energy is -1593 meV per atom.

It has space group Cmmm (No. 65), with a = 10.433 Å, b = 14.614 Å, c = 5.111 Å, α = 90.00°, β = 90.00° and γ = 90.00°. The asymmetric unit holds Rb at (0.000, 0.240, 0.000), Rb at (0.231, 0.000, 0.500), I at (0.000, 0.500, 0.000), I at (0.250, 0.250, 0.500) and Cl at (0.000, 0.000, 0.000).

***

Number 1 is which compound? Rb8I6Cl

***

Repeat the second record exactly.
First-principles (GGA-PBE) data for an optimized crystal structure of Rb3I2Cl8, as listed in Alexandria.

The value obtained for the raw formation energy is -740 meV per atom.

It has space group R-3m (No. 166, hexagonal axes), with a = 7.1866 Å, b = 7.1866 Å, c = 31.7002 Å, α = 90.00°, β = 90.00° and γ = 120.00°. The asymmetric unit holds Rb at (0.0000, 0.0000, 0.0000), Rb at (0.0000, 0.0000, 0.1996), I at (0.0000, 0.0000, 0.3861), Cl at (0.0000, 0.0000, 0.3053) and Cl at (0.0111, 0.5056, 0.7744).

***

What is the formula in the first record? Rb8I6Cl